(1)
Er6SbC2: relaxed, GGA-PBE.

For the formation energy from raw total energies, the calculation gives -0.302 eV/atom.

The structure belongs to space group C2/m (No. 12); the cell edges are 12.9157, 4.8439 and 8.6461 Å and the angles 90.00°, 124.36° and 90.00°. The distinct sites, in fractional coordinates, are Er at (0.0349, 0.0000, 0.1944), Er at (0.1652, 0.5000, 0.5796), Er at (0.1945, 0.5000, 0.0687), Sb at (0.0000, 0.0000, 0.5000) and C at (0.1808, 0.0000, 0.0925).

---

(2)
DyThCuAg: relaxed, GGA-PBE.

As for the total energy: -4.85 eV/atom.

The structure belongs to space group F-43m (No. 216); the cell edges are 7.2531, 7.2531 and 7.2531 Å and the angles 90.00°, 90.00° and 90.00°. The distinct sites, in fractional coordinates, are Dy at (0.0000, 0.0000, 0.0000), Th at (0.0000, 0.0000, 0.5000), Cu at (0.2500, 0.2500, 0.7500) and Ag at (0.2500, 0.2500, 0.2500).

---

(3)
Ho3ErTm6: relaxed, GGA-PBE.

The calculation puts the energy above the most stable polymorph in this dataset at 0.0248 eV per atom.

The structure belongs to space group Cmc2_1 (No. 36); the cell edges are 10.8363, 18.6744 and 6.0882 Å and the angles 90.00°, 90.00° and 90.00°. The distinct sites, in fractional coordinates, are Ho at (0.0000, 0.1087, 0.0000), Ho at (0.1709, 0.3916, 0.3873), Er at (0.0000, 0.2909, 0.0836), Tm at (0.0000, 0.2152, 0.5719), Tm at (0.0000, 0.4513, 0.8533), Tm at (0.1644, 0.0474, 0.4617) and Tm at (0.2485, 0.2895, 0.7916).

---

(4)
GaWAu3: relaxed, GGA-PBE.

The calculation puts the energy above the most stable polymorph in this dataset at 0.2459 eV per atom.

The structure belongs to space group Pm-3m (No. 221); the cell edges are 4.6846, 4.6846 and 4.6846 Å and the angles 90.00°, 90.00° and 90.00°. The distinct sites, in fractional coordinates, are Ga at (0.0000, 0.0000, 0.0000), W at (0.5000, 0.5000, 0.5000) and Au at (0.0000, 0.0000, 0.5000).